## Sc2Hg2Ge3 (PBE)

Data for an optimized crystal structure of Sc2Hg2Ge3.

Summary:
The symmetry is R3m. Its total magnetization is 0.0 μB per formula unit. For the theoretical density, the calculation gives 7.72 g/cm3. The total energy comes out at -4.05 eV/atom.

Cell lengths 9.1229, 9.1229, 9.1229 Å; angles 28.48, 28.48, 28.48 degrees
Element x y z (fractional)
Sc  0.0000  0.0000  0.0000
Sc  0.4752  0.4752  0.4752
Hg  0.1853  0.1853  0.1853
Hg  0.7493  0.7493  0.7493
Ge  0.3664  0.3664  0.3664
Ge  0.6036  0.6036  0.6036
Ge  0.8945  0.8945  0.8945



## Nd2P2OsPtO2 (PBE)

Data for an optimized crystal structure of Nd2P2OsPtO2.

Summary:
The symmetry is P-4m2. Its total magnetization is 0.0 μB per formula unit. For the theoretical density, the calculation gives 9.43 g/cm3. The total energy comes out at -7.77 eV/atom.

Cell lengths 4.0123, 4.0123, 8.3974 Å; angles 90.00, 90.00, 90.00 degrees
Element x y z (fractional)
Nd  0.0000  0.5000  0.1418
Nd  0.5000  0.0000  0.8582
P  0.0000  0.5000  0.6569
P  0.5000  0.0000  0.3431
Os  0.5000  0.5000  0.5000
Pt  0.0000  0.0000  0.5000
O  0.0000  0.0000  0.0000
O  0.5000  0.5000  0.0000